# 1
Zn2Ir2Pb: optimized geometry, PBE.

As for the relative energy among the computed polymorphs: 0.0 meV/atom. For the formation energy, the calculation gives 40 kJ/mol of formula units. The value obtained for the uncorrected energy is -47.135 eV per cell. The magnetic moment comes out at 0.00 μB per formula unit.

It has space group P4/mbm (No. 127), with a = 7.430 Å, b = 7.430 Å, c = 3.042 Å, α = 90.00°, β = 90.00° and γ = 90.00°. Symmetry generates all atoms from Zn at (0.152, 0.348, 0.000), Ir at (0.142, 0.642, 0.500) and Pb at (0.000, 0.000, 0.500).



# 2
Ca2ZnPbF8: optimized geometry, PBE.

The formation energy without anion corrections is -3.08 eV per atom. The value obtained for the uncorrected energy is -60.973 eV per cell. The magnetic moment comes out at 0.00 μB per formula unit.

It has space group P2/m (No. 10), with a = 4.085 Å, b = 7.679 Å, c = 5.492 Å, α = 90.00°, β = 95.14° and γ = 90.00°. Symmetry generates all atoms from Ca at (0.000, 0.235, 0.000), Zn at (0.500, 0.000, 0.500), Pb at (0.500, 0.500, 0.500), F at (0.012, 0.500, 0.770), F at (0.071, 0.000, 0.265) and F at (0.459, 0.221, 0.749).



# 3
RbSi2O: optimized geometry, PBE.

The formation energy without anion corrections is 0.00 eV per atom. The value obtained for the uncorrected energy is -67.115 eV per cell. The magnetic moment comes out at 0.00 μB per formula unit.

It has space group I4_1/amd (No. 141, origin choice 2), with a = 4.911 Å, b = 4.911 Å, c = 14.716 Å, α = 90.00°, β = 90.00° and γ = 90.00°. Symmetry generates all atoms from Rb at (0.000, 0.250, 0.375), Si at (0.000, 0.000, 0.000) and O at (0.000, 0.250, 0.875).



# 4
Hf4BeOs3: optimized geometry, PBE.

For the formation energy, the calculation gives -436 kJ/mol of formula units. The value obtained for the uncorrected energy is -81.745 eV per cell. The magnetic moment comes out at 0.00 μB per formula unit.

It has space group P4/mmm (No. 123), with a = 3.240 Å, b = 3.240 Å, c = 12.842 Å, α = 90.00°, β = 90.00° and γ = 90.00°. Symmetry generates all atoms from Hf at (0.000, 0.000, 0.119), Hf at (0.000, 0.000, 0.373), Be at (0.500, 0.500, 0.000), Os at (0.500, 0.500, 0.243) and Os at (0.500, 0.500, 0.500).



# 5
GaCuP2O: optimized geometry, PBE.

As for the relative energy among the computed polymorphs: 105.0 meV/atom. The formation energy without anion corrections is 0.54 eV per atom. The value obtained for the uncorrected energy is -20.196 eV per cell. The magnetic moment comes out at 0.00 μB per formula unit.

It has space group P4/mmm (No. 123), with a = 4.949 Å, b = 4.949 Å, c = 3.481 Å, α = 90.00°, β = 90.00° and γ = 90.00°. Symmetry generates all atoms from Ga at (0.000, 0.000, 0.000), Cu at (0.500, 0.500, 0.500), P at (0.000, 0.500, 0.000) and O at (0.000, 0.000, 0.500).



# 6
Ba3Sr12Ac: optimized geometry, PBE.

For the formation energy, the calculation gives 31 kJ/mol of formula units. The value obtained for the uncorrected energy is -29.738 eV per cell. The magnetic moment comes out at 0.00 μB per formula unit.

It has space group P4/mmm (No. 123), with a = 6.697 Å, b = 6.697 Å, c = 19.342 Å, α = 90.00°, β = 90.00° and γ = 90.00°. Symmetry generates all atoms from Ba at (0.000, 0.000, 0.000), Ba at (0.000, 0.000, 0.257), Sr at (0.000, 0.500, 0.127), Sr at (0.000, 0.500, 0.383), Sr at (0.500, 0.500, 0.000), Sr at (0.500, 0.500, 0.255), Sr at (0.500, 0.500, 0.500) and Ac at (0.000, 0.000, 0.500).



# 7
BaSrH3: optimized geometry, PBE.

As for the relative energy among the computed polymorphs: 30.7 meV/atom. The value obtained for the uncorrected energy is -62.802 eV per cell. The magnetic moment comes out at 0.00 μB per formula unit.

It has space group P2_1/c (No. 14), with a = 7.811 Å, b = 6.298 Å, c = 8.075 Å, α = 90.00°, β = 104.76° and γ = 90.00°. Symmetry generates all atoms from Ba at (0.146, 0.236, 0.163), Sr at (0.383, 0.745, 0.971), H at (0.144, 0.739, 0.162), H at (0.311, 0.121, 0.457) and H at (0.485, 0.007, 0.221).



# 8
In2AsSe: optimized geometry, PBE.

As for the relative energy among the computed polymorphs: 238.8 meV/atom. The formation energy without anion corrections is -0.05 eV per atom. The value obtained for the uncorrected energy is -13.813 eV per cell. The magnetic moment comes out at 0.00 μB per formula unit.

It has space group P2/m (No. 10), with a = 5.056 Å, b = 4.142 Å, c = 5.073 Å, α = 90.00°, β = 109.81° and γ = 90.00°. Symmetry generates all atoms from In at (0.240, 0.000, 0.260), As at (0.000, 0.500, 0.500) and Se at (0.500, 0.500, 0.000).



# 9
Pr4SmDy5: optimized geometry, PBE.

As for the relative energy among the computed polymorphs: 0.0 meV/atom. For the formation energy, the calculation gives 17 kJ/mol of formula units. The value obtained for the uncorrected energy is -46.675 eV per cell. The magnetic moment comes out at 0.00 μB per formula unit.

It has space group P4/mmm (No. 123), with a = 3.636 Å, b = 3.636 Å, c = 25.364 Å, α = 90.00°, β = 90.00° and γ = 90.00°. Symmetry generates all atoms from Pr at (0.000, 0.000, 0.100), Pr at (0.000, 0.000, 0.301), Sm at (0.000, 0.000, 0.500), Dy at (0.500, 0.500, 0.000), Dy at (0.500, 0.500, 0.201) and Dy at (0.500, 0.500, 0.402).